No. 1
{
  "formula": "MgSc2Ta",
  "functional": "PBE",
  "state": "optimized geometry",
  "energy_ev_per_atom": -6.295,
  "magmom_total_mub_per_atom": 0.000,
  "dos_ef_per_ev_cell": 5.73,
  "spacegroup": "P4/mmm, No. 123",
  "lattice": [[4.3055, 0.0000, 0.0000], [0.0000, 4.4353, 0.0000], [0.0000, 0.0000, 4.4353]],
  "species": ["Mg", "Sc", "Sc", "Ta"],
  "fractional_positions": [[0.5000, 0.0000, 0.5000], [0.0000, 0.0000, 0.0000], [0.0000, 0.5000, 0.5000], [0.5000, 0.5000, 0.0000]]
}


No. 2
{
  "formula": "PaGeSb2",
  "functional": "PBE",
  "state": "optimized geometry",
  "e_form_raw_ev_per_atom": -0.3212,
  "magmom_total_mub_per_atom": 0.000,
  "dos_ef_per_ev_cell": 3.15,
  "spacegroup": "P4/mmm, No. 123",
  "lattice": [[-3.8948, -2.2382, 0.6684], [0.8937, -0.2205, 4.4697], [-2.1703, 3.9647, 0.6296]],
  "species": ["Sb", "Sb", "Ge", "Pa"],
  "fractional_positions": [[0.0000, 0.0000, 0.5000], [0.0000, 0.5000, 0.0000], [0.5000, 0.5000, 0.5000], [0.5000, 0.0000, 0.0000]]
}


No. 3
{
  "formula": "Na13Ca3",
  "functional": "PBE",
  "state": "optimized geometry",
  "energy_ev_per_atom": -1.394,
  "magmom_total_mub_per_atom": 0.000,
  "dos_ef_per_ev_cell": 10.97,
  "spacegroup": "Amm2, No. 38",
  "lattice": [[-0.1355, -8.6271, 1.1293], [3.2133, 1.0109, 8.0239], [-7.4525, 0.4995, 2.9215]],
  "species": ["Na", "Na", "Na", "Na", "Na", "Na", "Na", "Na", "Na", "Na", "Na", "Na", "Na", "Ca", "Ca", "Ca"],
  "fractional_positions": [[0.4953, 0.9949, 0.2535], [0.4944, 0.5056, 0.2544], [0.0051, 0.5047, 0.2535], [0.7410, 0.7433, 0.0000], [0.2567, 0.2590, 0.0000], [0.2601, 0.7399, 0.0000], [0.4953, 0.9949, 0.7465], [0.4944, 0.5056, 0.7456], [0.0051, 0.5047, 0.7465], [0.7432, 0.2568, 0.5000], [0.7433, 0.7402, 0.5000], [0.2598, 0.2567, 0.5000], [0.2566, 0.7434, 0.5000], [0.0037, 0.9963, 0.2493], [0.7422, 0.2578, 0.0000], [0.0037, 0.9963, 0.7507]]
}


No. 4
{
  "formula": "LiIn4Pb15",
  "functional": "PBE",
  "state": "optimized geometry",
  "energy_ev_per_atom": -3.430,
  "magmom_total_mub_per_atom": 0.000,
  "dos_ef_per_ev_cell": 11.50,
  "spacegroup": "P4/mmm, No. 123",
  "lattice": [[-3.0153, -3.8109, 0.5487], [3.8366, -2.9154, 0.8346], [-1.6634, 4.8627, 24.6324]],
  "species": ["Li", "In", "In", "In", "In", "Pb", "Pb", "Pb", "Pb", "Pb", "Pb", "Pb", "Pb", "Pb", "Pb", "Pb", "Pb", "Pb", "Pb", "Pb"],
  "fractional_positions": [[0.0000, 0.0000, 0.0000], [0.0000, 0.0000, 0.1972], [0.0000, 0.0000, 0.3982], [0.0000, 0.0000, 0.6018], [0.0000, 0.0000, 0.8028], [0.5000, 0.5000, 0.0000], [0.5000, 0.5000, 0.1964], [0.5000, 0.5000, 0.3990], [0.5000, 0.5000, 0.6010], [0.5000, 0.5000, 0.8036], [0.5000, 0.0000, 0.0949], [0.5000, 0.0000, 0.2970], [0.5000, 0.0000, 0.5000], [0.5000, 0.0000, 0.7030], [0.5000, 0.0000, 0.9051], [0.0000, 0.5000, 0.0949], [0.0000, 0.5000, 0.2970], [0.0000, 0.5000, 0.5000], [0.0000, 0.5000, 0.7030], [0.0000, 0.5000, 0.9051]]
}